Mg2Sc2AgHg3 after structural relaxation. Source: OQMD via LeMat-Bulk, functional GGA-PBE.

Cell: 4.8939 4.8939 6.8591 Å, 90.00 90.00 90.00°
Space group P-4m2 (No. 115)
Asymmetric unit:
Mg 0.0000 0.5000 0.2434
Sc 0.0000 0.5000 0.7519
Ag 0.5000 0.5000 0.0000
Hg 0.0000 0.0000 0.0000
Hg 0.0000 0.0000 0.5000
Hg 0.5000 0.5000 0.5000

Raw total energy, eV/atom: -2.811
V, Å³ per atom: 20.5

=====

MgInNi2 after structural relaxation. Source: OQMD via LeMat-Bulk, functional GGA-PBE.

Cell: 4.5334 4.5334 7.3750 Å, 90.00 90.00 120.00°
Space group P6_3/mmc (No. 194)
Asymmetric unit:
Mg 0.0000 0.0000 0.2500
In 0.3333 0.6667 0.2500
Ni 0.3333 0.6667 0.5916

Raw total energy, eV/atom: -3.722
V, Å³ per atom: 16.4

=====

CdHPd2Pt after structural relaxation. Source: OQMD via LeMat-Bulk, functional GGA-PBE.

Cell: 4.1605 4.1605 3.9318 Å, 90.00 90.00 90.00°
Space group P4/mmm (No. 123)
Asymmetric unit:
Cd 0.0000 0.0000 0.0000
H 0.5000 0.5000 0.5000
Pd 0.0000 0.5000 0.5000
Pt 0.5000 0.5000 0.0000

Raw total energy, eV/atom: -4.384
V, Å³ per atom: 13.6

=====

Question: Which of these has the lowest raw total energy?
Answer: CdHPd2Pt